Record 1
Ni3HgS | GGA-PBEsol | optimized geometry Values from VASP.

Summary:
DOS(E_F) = 12.69 states/eV/f.u.
E_form (uncorrected) = 1569.3 meV/atom
Raw total energy = -3.1154 eV/atom
Magnetic moment = 0.382 μB/atom

Geometry as Quantum ESPRESSO input:
```
&SYSTEM
  ibrav = 0, nat = 5, ntyp = 3
/
ATOMIC_SPECIES
Ni 58.69 Ni.upf
S 32.06 S.upf
Hg 200.59 Hg.upf
ATOMIC_POSITIONS angstrom
Ni 0.009 -2.239 0.610
Ni 0.741 0.581 2.121
Ni -2.200 0.187 0.717
S -1.450 -1.472 3.449
Hg 0.000 0.000 0.000
CELL_PARAMETERS angstrom
-4.399 0.373 1.434
0.018 -4.479 1.221
1.482 1.162 4.243
```

---

Record 2
LiTiMo2N | GGA-PBEsol | optimized geometry Values from VASP.

Summary:
DOS(E_F) = 4.37 states/eV/f.u.
E_form (uncorrected) = 2424.2 meV/atom
Raw total energy = -6.0461 eV/atom
Magnetic moment = 0.000 μB/atom

Geometry as Quantum ESPRESSO input:
```
&SYSTEM
  ibrav = 0, nat = 5, ntyp = 4
/
ATOMIC_SPECIES
Mo 95.94 Mo.upf
N 14.01 N.upf
Li 6.94 Li.upf
Ti 47.87 Ti.upf
ATOMIC_POSITIONS angstrom
Mo 0.044 -1.989 -0.912
Mo -0.143 -0.913 1.984
N 2.097 -2.922 1.221
Li 2.196 -0.020 0.149
Ti 0.000 0.000 0.000
CELL_PARAMETERS angstrom
-0.285 -1.825 3.968
0.087 -3.978 -1.824
4.393 -0.040 0.297
```

---

Record 3
Tc2MoRh | GGA-PBEsol | optimized geometry Values from VASP.

Summary:
DOS(E_F) = 4.67 states/eV/f.u.
Formation enthalpy at 0 K = 0.181 eV/atom
Raw total energy = -10.4285 eV/atom
Magnetic moment = 0.000 μB/atom

Geometry as Quantum ESPRESSO input:
```
&SYSTEM
  ibrav = 0, nat = 4, ntyp = 3
/
ATOMIC_SPECIES
Mo 95.94 Mo.upf
Rh 102.91 Rh.upf
Tc 98.00 Tc.upf
ATOMIC_POSITIONS angstrom
Mo -0.796 1.050 0.022
Rh -1.477 -1.461 1.260
Tc 2.091 0.889 1.270
Tc -0.181 0.478 2.553
CELL_PARAMETERS angstrom
-1.592 2.099 0.045
-2.953 -2.922 2.520
4.183 1.779 2.541
```

---

Record 4
KIr3Os | GGA-PBEsol | optimized geometry Values from VASP.

Summary:
DOS(E_F) = 4.17 states/eV/f.u.
Formation enthalpy at 0 K = 1.592 eV/atom
Raw total energy = -6.9724 eV/atom
Magnetic moment = 0.000 μB/atom

Geometry as Quantum ESPRESSO input:
```
&SYSTEM
  ibrav = 0, nat = 5, ntyp = 3
/
ATOMIC_SPECIES
K 39.10 K.upf
Ir 192.22 Ir.upf
Os 190.23 Os.upf
ATOMIC_POSITIONS angstrom
K 2.065 -3.219 -1.560
Ir 2.365 -0.112 -0.282
Ir 0.004 -2.205 0.909
Ir -0.304 -0.902 -2.186
Os 0.000 0.000 0.000
CELL_PARAMETERS angstrom
-0.607 -1.804 -4.373
4.730 -0.224 -0.565
0.008 -4.409 1.817
```